Record 1
# Ca2LaTl, relaxed, DFT GGA-PBE
data_Ca2LaTl
_symmetry_space_group_name_H-M 'I 4/m m m'
_symmetry_Int_Tables_number 139
_symmetry_space_group_name_Hall '-I 4 2'
_cell_length_a 4.977
_cell_length_b 4.977
_cell_length_c 10.907
_cell_angle_alpha 90.00
_cell_angle_beta 90.00
_cell_angle_gamma 90.00
loop_
_atom_site_label
_atom_site_type_symbol
_atom_site_fract_x
_atom_site_fract_y
_atom_site_fract_z
Ca1 Ca 0.000 0.500 0.250
La1 La 0.000 0.000 0.000
Tl1 Tl 0.000 0.000 0.500
# N(E_F)   0.91 states/eV per atom
# E_tot   -23.52 eV for the cell shown
# Calculated formation energy   -0.47 eV/f.u.

Record 2
# Ca2LaTl2, relaxed, DFT GGA-PBE
data_Ca2LaTl2
_symmetry_space_group_name_H-M 'P 4/m b m'
_symmetry_Int_Tables_number 127
_symmetry_space_group_name_Hall '-P 4 2ab'
_cell_length_a 8.941
_cell_length_b 8.941
_cell_length_c 4.086
_cell_angle_alpha 90.00
_cell_angle_beta 90.00
_cell_angle_gamma 90.00
loop_
_atom_site_label
_atom_site_type_symbol
_atom_site_fract_x
_atom_site_fract_y
_atom_site_fract_z
Ca1 Ca 0.164 0.336 0.000
La1 La 0.000 0.000 0.500
Tl1 Tl 0.134 0.634 0.500
# N(E_F)   0.89 states/eV per atom
# E_tot   -30.44 eV for the cell shown
# Calculated formation energy   -1.56 eV/f.u.

Record 3
# Ca2LaTl, relaxed, DFT GGA-PBE
data_Ca2LaTl
_symmetry_space_group_name_H-M 'I m m m'
_symmetry_Int_Tables_number 71
_symmetry_space_group_name_Hall '-I 2 2'
_cell_length_a 4.023
_cell_length_b 5.799
_cell_length_c 12.055
_cell_angle_alpha 90.00
_cell_angle_beta 90.00
_cell_angle_gamma 90.00
loop_
_atom_site_label
_atom_site_type_symbol
_atom_site_fract_x
_atom_site_fract_y
_atom_site_fract_z
Ca1 Ca 0.000 0.000 0.215
La1 La 0.000 0.500 0.000
Tl1 Tl 0.000 0.500 0.500
# N(E_F)   1.36 states/eV per atom
# E_tot   -23.96 eV for the cell shown
# Calculated formation energy   -0.68 eV/f.u.

Record 4
# Ca2LaTl, relaxed, DFT GGA-PBE
data_Ca2LaTl
_symmetry_space_group_name_H-M 'F m -3 m'
_symmetry_Int_Tables_number 225
_symmetry_space_group_name_Hall '-F 4 2 3'
_cell_length_a 8.084
_cell_length_b 8.084
_cell_length_c 8.084
_cell_angle_alpha 90.00
_cell_angle_beta 90.00
_cell_angle_gamma 90.00
loop_
_atom_site_label
_atom_site_type_symbol
_atom_site_fract_x
_atom_site_fract_y
_atom_site_fract_z
Ca1 Ca 0.250 0.250 0.250
La1 La 0.000 0.000 0.000
Tl1 Tl 0.000 0.000 0.500
# N(E_F)   1.49 states/eV per atom
# E_tot   -45.49 eV for the cell shown
# Calculated formation energy   -0.08 eV/f.u.

Record 5
# Ca2La2Tl3, relaxed, DFT GGA-PBE
data_Ca2La2Tl3
_symmetry_space_group_name_H-M 'C m m m'
_symmetry_Int_Tables_number 65
_symmetry_space_group_name_Hall '-C 2 2'
_cell_length_a 3.804
_cell_length_b 32.667
_cell_length_c 3.698
_cell_angle_alpha 90.00
_cell_angle_beta 90.00
_cell_angle_gamma 90.00
loop_
_atom_site_label
_atom_site_type_symbol
_atom_site_fract_x
_atom_site_fract_y
_atom_site_fract_z
Ca1 Ca 0.000 0.197 0.000
La1 La 0.000 0.068 0.000
Tl1 Tl 0.000 0.363 0.500
Tl2 Tl 0.000 0.500 0.500
# N(E_F)   0.96 states/eV per atom
# E_tot   -46.62 eV for the cell shown
# Calculated formation energy   -2.35 eV/f.u.

Record 6
# Ca2LaTl, relaxed, DFT GGA-PBE
data_Ca2LaTl
_symmetry_space_group_name_H-M 'R 3 m'
_symmetry_Int_Tables_number 160
_symmetry_space_group_name_Hall 'R 3 -2"'
_cell_length_a 3.7926
_cell_length_b 3.7926
_cell_length_c 34.3225
_cell_angle_alpha 90.00
_cell_angle_beta 90.00
_cell_angle_gamma 120.00
loop_
_atom_site_label
_atom_site_type_symbol
_atom_site_fract_x
_atom_site_fract_y
_atom_site_fract_z
Ca1 Ca 0.0000 0.0000 0.0000
Ca2 Ca 0.0000 0.0000 0.1881
La1 La 0.0000 0.0000 0.4284
Tl1 Tl 0.0000 0.0000 0.5939
# N(E_F)   1.19 states/eV per atom
# E_tot   -35.21 eV for the cell shown
# Calculated formation energy   -0.44 eV/f.u.

Record 7
# Ca2LaTl, relaxed, DFT GGA-PBE
data_Ca2LaTl
_symmetry_space_group_name_H-M 'R -3 m'
_symmetry_Int_Tables_number 166
_symmetry_space_group_name_Hall '-R 3 2"'
_cell_length_a 3.7685
_cell_length_b 3.7685
_cell_length_c 34.6107
_cell_angle_alpha 90.00
_cell_angle_beta 90.00
_cell_angle_gamma 120.00
loop_
_atom_site_label
_atom_site_type_symbol
_atom_site_fract_x
_atom_site_fract_y
_atom_site_fract_z
Ca1 Ca 0.0000 0.0000 0.2398
La1 La 0.0000 0.0000 0.0000
Tl1 Tl 0.0000 0.0000 0.5000
# N(E_F)   1.14 states/eV per atom
# E_tot   -35.22 eV for the cell shown
# Calculated formation energy   -0.44 eV/f.u.

Record 8
# Ca2LaTl, relaxed, DFT GGA-PBE
data_Ca2LaTl
_symmetry_space_group_name_H-M 'P m m 2'
_symmetry_Int_Tables_number 25
_cell_length_a 3.753
_cell_length_b 4.797
_cell_length_c 7.608
_cell_angle_alpha 90.00
_cell_angle_beta 90.00
_cell_angle_gamma 90.00
loop_
_symmetry_equiv_pos_as_xyz
'x,y,z'
'-x,-y,z'
'-x,y,z'
'x,-y,z'
loop_
_atom_site_label
_atom_site_type_symbol
_atom_site_fract_x
_atom_site_fract_y
_atom_site_fract_z
Ca1 Ca 0.000 0.000 0.000
Ca2 Ca 0.500 0.500 0.277
La1 La 0.000 0.000 0.557
Tl1 Tl 0.500 0.500 0.774
# N(E_F)   0.67 states/eV per atom
# E_tot   -11.94 eV for the cell shown
# Calculated formation energy   -0.64 eV/f.u.

Record 9
# CaLa5Tl6, relaxed, DFT GGA-PBE
data_CaLa5Tl6
_symmetry_space_group_name_H-M 'P 1 2/m 1'
_symmetry_Int_Tables_number 10
_cell_length_a 5.617
_cell_length_b 7.910
_cell_length_c 8.898
_cell_angle_alpha 90.00
_cell_angle_beta 108.14
_cell_angle_gamma 90.00
loop_
_symmetry_equiv_pos_as_xyz
'x,y,z'
'-x,-y,-z'
'-x,y,-z'
'x,-y,z'
loop_
_atom_site_label
_atom_site_type_symbol
_atom_site_fract_x
_atom_site_fract_y
_atom_site_fract_z
Ca1 Ca 0.000 0.000 0.000
La1 La 0.000 0.500 0.000
La2 La 0.330 0.500 0.659
La3 La 0.338 0.000 0.675
Tl1 Tl 0.164 0.243 0.328
Tl2 Tl 0.500 0.250 0.000
# N(E_F)   0.98 states/eV per atom
# E_tot   -45.99 eV for the cell shown
# Calculated formation energy   -5.15 eV/f.u.

Record 10
# Ca2LaTl, relaxed, DFT GGA-PBE
data_Ca2LaTl
_symmetry_space_group_name_H-M 'C 1 2/m 1'
_symmetry_Int_Tables_number 12
_cell_length_a 7.154
_cell_length_b 12.168
_cell_length_c 3.615
_cell_angle_alpha 90.00
_cell_angle_beta 117.60
_cell_angle_gamma 90.00
loop_
_symmetry_equiv_pos_as_xyz
'x,y,z'
'-x,-y,-z'
'-x,y,-z'
'x,-y,z'
'x+1/2,y+1/2,z'
'-x+1/2,-y+1/2,-z'
'-x+1/2,y+1/2,-z'
'x+1/2,-y+1/2,z'
loop_
_atom_site_label
_atom_site_type_symbol
_atom_site_fract_x
_atom_site_fract_y
_atom_site_fract_z
Ca1 Ca 0.250 0.250 0.000
La1 La 0.000 0.000 0.500
Tl1 Tl 0.000 0.500 0.500
# N(E_F)   1.45 states/eV per atom
# E_tot   -23.09 eV for the cell shown
# Calculated formation energy   -0.25 eV/f.u.

Record 11
# CaLa2Tl2, relaxed, DFT GGA-PBE
data_CaLa2Tl2
_symmetry_space_group_name_H-M 'P 4/m b m'
_symmetry_Int_Tables_number 127
_symmetry_space_group_name_Hall '-P 4 2ab'
_cell_length_a 9.472
_cell_length_b 9.472
_cell_length_c 3.701
_cell_angle_alpha 90.00
_cell_angle_beta 90.00
_cell_angle_gamma 90.00
loop_
_atom_site_label
_atom_site_type_symbol
_atom_site_fract_x
_atom_site_fract_y
_atom_site_fract_z
Ca1 Ca 0.000 0.000 0.000
La1 La 0.118 0.382 0.000
Tl1 Tl 0.180 0.680 0.500
# N(E_F)   1.22 states/eV per atom
# E_tot   -35.70 eV for the cell shown
# Calculated formation energy   -1.26 eV/f.u.

Record 12
# Ca3La2Tl4, relaxed, DFT GGA-PBE
data_Ca3La2Tl4
_symmetry_space_group_name_H-M 'C 1 2/m 1'
_symmetry_Int_Tables_number 12
_cell_length_a 9.589
_cell_length_b 5.532
_cell_length_c 10.775
_cell_angle_alpha 90.00
_cell_angle_beta 90.08
_cell_angle_gamma 90.00
loop_
_symmetry_equiv_pos_as_xyz
'x,y,z'
'-x,-y,-z'
'-x,y,-z'
'x,-y,z'
'x+1/2,y+1/2,z'
'-x+1/2,-y+1/2,-z'
'-x+1/2,y+1/2,-z'
'x+1/2,-y+1/2,z'
loop_
_atom_site_label
_atom_site_type_symbol
_atom_site_fract_x
_atom_site_fract_y
_atom_site_fract_z
Ca1 Ca 0.000 0.000 0.000
Ca2 Ca 0.167 0.500 0.581
La1 La 0.167 0.500 0.202
Tl1 Tl 0.000 0.000 0.343
Tl2 Tl 0.166 0.500 0.893
# N(E_F)   0.84 states/eV per atom
# E_tot   -57.26 eV for the cell shown
# Calculated formation energy   -3.31 eV/f.u.